# 1
# Sr5Cd5P6O24F2

A crystal of Sr5Cd5P6O24F2 relaxed with PBEsol (meta-GGA SCAN, the Alexandria database).

Lattice parameters (Å, degrees): 6.964 9.488 9.537 119.43 90.00 90.00
Atoms (fractional coordinates):
Sr (0.500, 0.249, 0.236)
Sr (0.500, 0.984, 0.754)
Sr (0.500, 0.744, 0.006)
Sr (0.000, 0.756, 0.762)
Sr (0.000, 0.017, 0.241)
Cd (0.000, 0.271, 0.013)
Cd (0.252, 0.673, 0.339)
Cd (0.752, 0.327, 0.663)
Cd (0.248, 0.327, 0.663)
Cd (0.748, 0.673, 0.339)
P (0.500, 0.029, 0.406)
P (0.500, 0.369, 0.976)
P (0.500, 0.592, 0.622)
P (0.000, 0.970, 0.590)
P (0.000, 0.626, 0.026)
P (0.000, 0.408, 0.379)
O (0.500, 0.128, 0.594)
O (0.500, 0.440, 0.858)
O (0.500, 0.403, 0.541)
O (0.000, 0.872, 0.401)
O (0.000, 0.544, 0.135)
O (0.000, 0.597, 0.460)
O (0.500, 0.843, 0.344)
O (0.500, 0.509, 0.153)
O (0.500, 0.647, 0.493)
O (0.000, 0.156, 0.655)
O (0.000, 0.496, 0.845)
O (0.000, 0.352, 0.507)
O (0.322, 0.077, 0.344)
O (0.321, 0.259, 0.941)
O (0.323, 0.658, 0.732)
O (0.821, 0.917, 0.646)
O (0.825, 0.738, 0.070)
O (0.823, 0.342, 0.269)
O (0.179, 0.917, 0.646)
O (0.175, 0.738, 0.070)
O (0.177, 0.342, 0.269)
O (0.678, 0.077, 0.344)
O (0.679, 0.259, 0.941)
O (0.677, 0.658, 0.732)
F (0.500, 0.990, 0.004)
F (0.000, 0.026, 0.990)

Calculated values
size of the total moment	0.000	μB per cell
DOS at the Fermi energy	0.0	states/eV per cell
formation energy without anion corrections	-2.69	eV/atom



# 2
# CdSeO2F

A crystal of CdSeO2F relaxed with PBEsol (meta-GGA SCAN, the Alexandria database).

Lattice parameters (Å, degrees): 4.113 4.181 4.181 90.00 90.00 90.00
Atoms (fractional coordinates):
F (0.500, 0.000, 0.000)
O (0.000, 0.000, 0.500)
O (0.000, 0.500, 0.000)
Se (0.500, 0.500, 0.500)
Cd (0.000, 0.000, 0.000)

Calculated values
size of the total moment	0.004	μB per cell
DOS at the Fermi energy	3.6	states/eV per cell
formation energy without anion corrections	0.06	eV/atom



# 3
# CdSiOF2

A crystal of CdSiOF2 relaxed with PBEsol (meta-GGA SCAN, the Alexandria database).

Lattice parameters (Å, degrees): 4.217 4.217 4.326 90.00 90.00 90.00
Atoms (fractional coordinates):
Si (0.500, 0.500, 0.500)
F (0.000, 0.500, 0.000)
F (0.500, 0.000, 0.000)
O (0.000, 0.000, 0.500)
Cd (0.000, 0.000, 0.000)

Calculated values
size of the total moment	0.000	μB per cell
DOS at the Fermi energy	0.5	states/eV per cell
formation energy without anion corrections	-0.79	eV/atom



# 4
# CdTcOF2

A crystal of CdTcOF2 relaxed with PBEsol (meta-GGA SCAN, the Alexandria database).

Lattice parameters (Å, degrees): 4.232 4.232 4.316 90.00 90.00 90.00
Site moments in Bohr magnetons follow the coordinates.
Atoms (fractional coordinates):
F (0.000, 0.500, 0.000)  0.04
F (0.500, 0.000, 0.000)  0.04
Tc (0.500, 0.500, 0.500)  4.46
O (0.000, 0.000, 0.500)  0.12
Cd (0.000, 0.000, 0.000)  0.01

Calculated values
size of the total moment	5.049	μB per cell
DOS at the Fermi energy	0.5	states/eV per cell
formation energy without anion corrections	-0.73	eV/atom